The following is a PBE calculation of a relaxed ReAgMo crystal, from Alexandria via LeMat-Bulk.

Lattice parameters (Å, degrees): 6.119 6.119 6.119 90.00 90.00 90.00
Space group F-43m (No. 216)
Symmetry-distinct sites (fractional):
1 Re 0.000 0.000 0.000
2 Ag 0.250 0.250 0.250
3 Mo 0.250 0.250 0.750

theoretical density: 11.307 g cm⁻³
crystal system: cubic
offset from the most stable computed form: 658 meV per atom